VASP calculation (PBE+U) on a geometry-optimized SrCrRe2O8 structure.

a = 5.8280 Å, b = 5.8280 Å, c = 6.9554 Å
α = 90.00°, β = 90.00°, γ = 120.00°
Sites, in units of the cell vectors:
O  0.1625  0.8432  0.7048
O  0.6807  0.8375  0.7048
O  0.8432  0.6807  0.2952
O  0.3333  0.6667  0.0268
O  0.3193  0.1625  0.2952
O  0.6667  0.3333  0.9732
O  0.1568  0.3193  0.7048
O  0.8375  0.1568  0.2952
Sr  0.0000  0.0000  0.0000
Cr  0.0000  0.0000  0.5000
Re  0.6667  0.3333  0.2288
Re  0.3333  0.6667  0.7712

Results
Total magnetization, μB/cell: 6.04
DFT total energy, eV per atom: -7.878